1.
LiCdAu after structural relaxation. Source: the Alexandria database, functional PBE-GGA.

Lattice parameters (Å, degrees): 3.007 3.007 6.987 90.00 90.00 120.00
Atoms (fractional coordinates):
Au: 0.000 0.000 0.978
Cd: 0.667 0.333 0.338
Li: 0.333 0.667 0.683

- E (eV per atom) = -2.2621
- formation energy (eV/atom) = -0.23

=====

2.
Ga2Os2Au after structural relaxation. Source: the Alexandria database, functional PBE-GGA.

Lattice parameters (Å, degrees): 7.219 7.219 3.028 90.00 90.00 90.00
Atoms (fractional coordinates):
Os: 0.373 0.873 0.000
Os: 0.873 0.627 0.000
Os: 0.627 0.127 0.000
Os: 0.127 0.373 0.000
Au: 0.000 0.000 0.000
Au: 0.500 0.500 0.000
Ga: 0.170 0.670 0.500
Ga: 0.670 0.830 0.500
Ga: 0.830 0.330 0.500
Ga: 0.330 0.170 0.500

- E (eV per atom) = -6.1350
- formation energy (eV/atom) = 0.22

=====

Which of these has the highest E?
LiCdAu